1.
The following is a DFT calculation (PBE-GGA) of a relaxed AlZnPd3 crystal.

Cell lengths 10.657, 9.264, 7.397 Å; angles 90.00, 123.35, 90.00 degrees
Space group C2/c (No. 15)
Symmetry-distinct sites (fractional):
Al  0.000  0.023  0.250 [4 per cell]
Al  0.000  0.338  0.750 [4 per cell]
Zn  0.109  0.305  0.224 [8 per cell]
Pd  0.114  0.149  0.600 [8 per cell]
Pd  0.139  0.453  0.537 [8 per cell]
Pd  0.195  0.135  0.043 [8 per cell]

Summary:
relative energy among the computed polymorphs	0.00	kcal/mol of atoms

=====

2.
The following is a DFT calculation (PBE-GGA) of a relaxed Al2Zn3Pd3 crystal.

Cell lengths 6.9863, 6.9863, 2.8409 Å; angles 90.00, 90.00, 120.00 degrees
Space group P-62m (No. 189)
Symmetry-distinct sites (fractional):
Al  0.3333  0.6667  0.0000 [2 per cell]
Zn  0.0000  0.2353  0.0000 [3 per cell]
Pd  0.0000  0.6204  0.5000 [3 per cell]

=====

3.
The following is a DFT calculation (PBE-GGA) of a relaxed Al2ZnPd2 crystal.

Cell lengths 7.129, 7.129, 3.013 Å; angles 90.00, 90.00, 90.00 degrees
Space group P4/mbm (No. 127)
Symmetry-distinct sites (fractional):
Al  0.140  0.360  0.000 [4 per cell]
Zn  0.000  0.000  0.000 [2 per cell]
Pd  0.155  0.655  0.500 [4 per cell]

Summary:
relative energy among the computed polymorphs	1.53	kcal/mol of atoms

=====

4.
The following is a DFT calculation (PBE-GGA) of a relaxed Al2ZnPd crystal.

Cell lengths 7.449, 7.449, 5.139 Å; angles 90.00, 90.00, 90.00 degrees
Space group I-42d (No. 122)
Symmetry-distinct sites (fractional):
Al  0.208  0.750  0.125 [8 per cell]
Zn  0.000  0.000  0.500 [4 per cell]
Pd  0.000  0.000  0.000 [4 per cell]

=====

5.
The following is a DFT calculation (PBE-GGA) of a relaxed Al2ZnPd9 crystal.

Cell lengths 3.909, 3.909, 11.720 Å; angles 90.00, 90.00, 90.00 degrees
Space group P4/mmm (No. 123)
Symmetry-distinct sites (fractional):
Al  0.000  0.000  0.169 [2 per cell]
Zn  0.000  0.000  0.500 [1 per cell]
Pd  0.000  0.500  0.000 [2 per cell]
Pd  0.000  0.500  0.331 [4 per cell]
Pd  0.500  0.500  0.165 [2 per cell]
Pd  0.500  0.500  0.500 [1 per cell]

=====

6.
The following is a DFT calculation (PBE-GGA) of a relaxed AlZn2Pd5 crystal.

Cell lengths 5.432, 10.477, 4.132 Å; angles 90.00, 90.00, 90.00 degrees
Space group Pbam (No. 55)
Symmetry-distinct sites (fractional):
Al  0.000  0.000  0.000 [2 per cell]
Zn  0.161  0.361  0.500 [4 per cell]
Pd  0.000  0.500  0.000 [2 per cell]
Pd  0.101  0.765  0.000 [4 per cell]
Pd  0.178  0.107  0.500 [4 per cell]

=====

7.
The following is a DFT calculation (PBE-GGA) of a relaxed Al2ZnPd2 crystal.

Cell lengths 4.283, 14.097, 4.967 Å; angles 90.00, 90.00, 90.00 degrees
Space group Cmc2_1 (No. 36)
Symmetry-distinct sites (fractional):
Al  0.000  0.042  0.000 [4 per cell]
Al  0.000  0.166  0.453 [4 per cell]
Zn  0.000  0.369  0.305 [4 per cell]
Pd  0.000  0.230  0.951 [4 per cell]
Pd  0.000  0.442  0.807 [4 per cell]

Summary:
relative energy among the computed polymorphs	0.85	kcal/mol of atoms

=====

8.
The following is a DFT calculation (PBE-GGA) of a relaxed AlZnPd2 crystal.

Cell lengths 3.952, 3.952, 17.011 Å; angles 90.00, 90.00, 90.00 degrees
Space group I-42d (No. 122)
Symmetry-distinct sites (fractional):
Al  0.000  0.000  0.000 [4 per cell]
Zn  0.000  0.000  0.500 [4 per cell]
Pd  0.248  0.250  0.125 [8 per cell]

=====

9.
The following is a DFT calculation (PBE-GGA) of a relaxed AlZn2Pd2 crystal.

Cell lengths 7.153, 7.153, 2.964 Å; angles 90.00, 90.00, 90.00 degrees
Space group P4/mbm (No. 127)
Symmetry-distinct sites (fractional):
Al  0.000  0.000  0.000 [2 per cell]
Zn  0.125  0.375  0.000 [4 per cell]
Pd  0.174  0.674  0.500 [4 per cell]

Summary:
relative energy among the computed polymorphs	1.64	kcal/mol of atoms

=====

10.
The following is a DFT calculation (PBE-GGA) of a relaxed AlZn2Pd3 crystal.

Cell lengths 4.381, 13.147, 6.031 Å; angles 90.00, 90.00, 90.00 degrees
Space group Cmmm (No. 65)
Symmetry-distinct sites (fractional):
Al  0.000  0.164  0.000 [4 per cell]
Zn  0.000  0.166  0.500 [4 per cell]
Zn  0.000  0.500  0.000 [2 per cell]
Zn  0.000  0.500  0.500 [2 per cell]
Pd  0.000  0.000  0.247 [4 per cell]
Pd  0.000  0.330  0.244 [8 per cell]

Summary:
relative energy among the computed polymorphs	0.00	kcal/mol of atoms

=====

11.
The following is a DFT calculation (PBE-GGA) of a relaxed Al2ZnPd2 crystal.

Cell lengths 7.089, 7.089, 3.080 Å; angles 90.00, 90.00, 90.00 degrees
Space group P4/mbm (No. 127)
Symmetry-distinct sites (fractional):
Al  0.147  0.353  0.000 [4 per cell]
Zn  0.000  0.000  0.500 [2 per cell]
Pd  0.150  0.650  0.500 [4 per cell]

Summary:
relative energy among the computed polymorphs	0.00	kcal/mol of atoms

=====

12.
The following is a DFT calculation (PBE-GGA) of a relaxed AlZn3Pd2 crystal.

Cell lengths 5.315, 8.172, 8.375 Å; angles 90.00, 106.77, 90.00 degrees
Space group C2/c (No. 15)
Symmetry-distinct sites (fractional):
Al  0.000  0.125  0.250 [4 per cell]
Zn  0.000  0.376  0.750 [4 per cell]
Zn  0.160  0.375  0.072 [8 per cell]
Pd  0.173  0.125  0.601 [8 per cell]

=====

13.
The following is a DFT calculation (PBE-GGA) of a relaxed Al12Zn3Pd crystal.

Cell lengths 4.056, 4.056, 15.629 Å; angles 90.00, 90.00, 90.00 degrees
Space group P4/mmm (No. 123)
Symmetry-distinct sites (fractional):
Al  0.000  0.000  0.000 [1 per cell]
Al  0.000  0.000  0.249 [2 per cell]
Al  0.000  0.000  0.500 [1 per cell]
Al  0.000  0.500  0.122 [4 per cell]
Al  0.000  0.500  0.375 [4 per cell]
Zn  0.500  0.500  0.251 [2 per cell]
Zn  0.500  0.500  0.500 [1 per cell]
Pd  0.500  0.500  0.000 [1 per cell]

=====

14.
The following is a DFT calculation (PBE-GGA) of a relaxed Al8ZnPd2 crystal.

Cell lengths 4.841, 5.159, 7.944 Å; angles 108.73, 107.42, 90.55 degrees
Space group P-1 (No. 2)
Symmetry-distinct sites (fractional):
Al  0.099  0.100  0.200 [2 per cell]
Al  0.252  0.443  0.000 [2 per cell]
Al  0.315  0.567  0.636 [2 per cell]
Al  0.322  0.069  0.637 [2 per cell]
Zn  0.500  0.000  0.000 [1 per cell]
Pd  0.158  0.659  0.317 [2 per cell]

=====

15.
The following is a DFT calculation (PBE-GGA) of a relaxed AlZnPd3 crystal.

Cell lengths 4.538, 4.538, 4.538 Å; angles 90.00, 90.00, 90.00 degrees
Space group Pm-3m (No. 221)
Symmetry-distinct sites (fractional):
Al  0.000  0.000  0.000 [1 per cell]
Zn  0.500  0.500  0.500 [1 per cell]
Pd  0.000  0.000  0.500 [3 per cell]

Summary:
relative energy among the computed polymorphs	14.30	kcal/mol of atoms

=====

16.
The following is a DFT calculation (PBE-GGA) of a relaxed AlZnPd4 crystal.

Cell lengths 7.159, 4.119, 7.177 Å; angles 90.00, 109.27, 90.00 degrees
Space group C2/m (No. 12)
Symmetry-distinct sites (fractional):
Al  0.000  0.000  0.000 [2 per cell]
Zn  0.000  0.500  0.500 [2 per cell]
Pd  0.123  0.000  0.368 [4 per cell]
Pd  0.127  0.500  0.879 [4 per cell]

Summary:
relative energy among the computed polymorphs	3.30	kcal/mol of atoms

=====

17.
The following is a DFT calculation (PBE-GGA) of a relaxed Al2Zn2Pd3 crystal.

Cell lengths 4.270, 4.273, 7.333 Å; angles 106.78, 90.05, 119.83 degrees
Space group P-1 (No. 2)
Symmetry-distinct sites (fractional):
Al  0.115  0.231  0.346 [2 per cell]
Zn  0.368  0.738  0.103 [2 per cell]
Pd  0.242  0.484  0.728 [2 per cell]
Pd  0.500  0.000  0.500 [1 per cell]

=====

18.
The following is a DFT calculation (PBE-GGA) of a relaxed Al6ZnPd crystal.

Cell lengths 6.422, 8.909, 5.601 Å; angles 90.00, 123.93, 90.00 degrees
Space group C2/m (No. 12)
Symmetry-distinct sites (fractional):
Al  0.006  0.247  0.253 [8 per cell]
Al  0.247  0.500  0.238 [4 per cell]
Zn  0.000  0.500  0.500 [2 per cell]
Pd  0.000  0.000  0.000 [2 per cell]

=====

19.
The following is a DFT calculation (PBE-GGA) of a relaxed AlZn8Pd6 crystal.

Cell lengths 7.3705, 7.3705, 15.7185 Å; angles 90.00, 90.00, 120.00 degrees
Space group R-3 (No. 148, hexagonal axes)
Symmetry-distinct sites (fractional):
Al  0.0000  0.0000  0.0000 [3 per cell]
Zn  0.0000  0.0000  0.3247 [6 per cell]
Zn  0.0006  0.3302  0.7864 [18 per cell]
Pd  0.9996  0.3404  0.2828 [18 per cell]

=====

20.
The following is a DFT calculation (PBE-GGA) of a relaxed AlZn3Pd6 crystal.

Cell lengths 7.404, 4.452, 9.470 Å; angles 90.00, 109.69, 90.00 degrees
Space group P2_1/m (No. 11)
Symmetry-distinct sites (fractional):
Al  0.048  0.250  0.404 [2 per cell]
Zn  0.225  0.250  0.019 [2 per cell]
Zn  0.372  0.750  0.791 [2 per cell]
Zn  0.467  0.250  0.619 [2 per cell]
Pd  0.078  0.750  0.876 [2 per cell]
Pd  0.149  0.750  0.184 [2 per cell]
Pd  0.152  0.250  0.692 [2 per cell]
Pd  0.244  0.750  0.499 [2 per cell]
Pd  0.343  0.250  0.324 [2 per cell]
Pd  0.465  0.750  0.085 [2 per cell]

=====

Going through the records in order, we get energy of formation from the pure elements values of -0.528; -0.557; -0.584; -0.083; -0.500; -0.627; -0.614; -0.279; -0.401; -0.671; -0.651; -0.480; -0.071; -0.328; 0.092; -0.452; -0.637; -0.086; -0.408; -0.575 eV/atom.
Going through the records in order, we get calculated volume values of 609.95; 120.08; 153.11; 285.19; 179.09; 235.14; 299.93; 265.65; 151.65; 347.36; 154.78; 348.29; 257.15; 178.04; 93.44; 199.75; 109.41; 265.85; 739.49; 293.89 Å³ per cell.
Going through the records in order, we get DFT total energy values of -23.237; -31.343; -22.067; -14.285; -61.494; -37.271; -22.213; -16.516; -18.682; -25.894; -22.398; -20.830; -55.065; -45.207; -20.135; -28.501; -30.071; -29.609; -51.212; -44.476 eV/f.u..